A relaxed structure of DyEr2Sn, computed with PBE.

## Properties
The value obtained for the density of states at the Fermi level is 4.4 states/eV/cell. Its crystal system is tetragonal. The value obtained for the uncorrected energy is -4.73 eV/atom. The value obtained for the distance to the lowest polymorph of the same formula is 106 meV per atom. As for the calculated volume: 116 Å³/cell.

a b c (Å): 3.553 3.553 9.172
angles (deg): 90.00 90.00 90.00
Atoms (fractional coordinates):
Sn: 0.500 0.500 0.500
Er: 0.000 0.000 0.271
Er: 0.000 0.000 0.729
Dy: 0.500 0.500 0.000



A relaxed structure of PaB2Mo, computed with PBE.

## Properties
The value obtained for the density of states at the Fermi level is 1.5 states/eV/cell. Its crystal system is trigonal. The value obtained for the uncorrected energy is -8.61 eV/atom. The value obtained for the distance to the lowest polymorph of the same formula is 278 meV per atom. As for the calculated volume: 56 Å³/cell.

a b c (Å): 3.300 3.300 6.234
angles (deg): 74.65 74.65 60.00
Atoms (fractional coordinates):
B: 0.735 0.735 0.795
B: 0.265 0.265 0.205
Mo: 0.000 0.000 0.000
Pa: 0.500 0.500 0.500



A relaxed structure of Os2RhPb, computed with PBE.

## Properties
The value obtained for the density of states at the Fermi level is 5.5 states/eV/cell. Its crystal system is cubic. The value obtained for the uncorrected energy is -7.50 eV/atom. As for the calculated volume: 67 Å³/cell.

a b c (Å): 4.550 4.550 4.550
angles (deg): 60.00 60.00 60.00
Each line ends with the local moment (μB).
Atoms (fractional coordinates):
Os: 0.750 0.750 0.750  0.55
Os: 0.000 0.000 0.000  0.84
Rh: 0.250 0.250 0.250  0.51
Pb: 0.500 0.500 0.500  0.02



A relaxed structure of In3AgCl, computed with PBE.

## Properties
The value obtained for the density of states at the Fermi level is 1.8 states/eV/cell. Its crystal system is cubic. The value obtained for the uncorrected energy is -2.33 eV/atom. The calculation puts the formation energy (no corrections) at 0.252 eV per atom. The value obtained for the distance to the lowest polymorph of the same formula is 350 meV per atom. As for the calculated volume: 183 Å³/cell.

a b c (Å): 5.680 5.680 5.680
angles (deg): 90.00 90.00 90.00
Atoms (fractional coordinates):
Cl: 0.000 0.000 0.000
In: 0.500 0.000 0.000
In: 0.000 0.000 0.500
In: 0.000 0.500 0.000
Ag: 0.500 0.500 0.500



In order of appearance, magnetization = 0.0 0.0 2.0 0.0 μB per formula unit.